Entry 1:
DFT (PBE) results for GdTlBi2 after structural relaxation.

Values from the calculation:
symmetry: P4/mmm, No. 123
distance to the lowest polymorph of the same formula: 0.000 eV/atom

Unit cell a=4.266 b=4.266 c=6.790 alpha=90.00 beta=90.00 gamma=90.00
Fractional coordinates of all 4 atoms:
Gd (0.000, 0.000, 0.000)
Tl (0.000, 0.000, 0.500)
Bi (0.500, 0.500, 0.232)
Bi (0.500, 0.500, 0.768)


Entry 2:
DFT (PBE) results for GdTlBi after structural relaxation.

Values from the calculation:
symmetry: P3m1, No. 156
distance to the lowest polymorph of the same formula: 0.056 eV/atom

Unit cell a=5.287 b=5.287 c=3.768 alpha=90.00 beta=90.00 gamma=120.00
Fractional coordinates of all 3 atoms:
Gd (0.000, 0.000, 0.000)
Tl (0.333, 0.667, 0.662)
Bi (0.667, 0.333, 0.397)


Entry 3:
DFT (PBE) results for GdTlBi after structural relaxation.

Values from the calculation:
symmetry: I4mm, No. 107
distance to the lowest polymorph of the same formula: 0.000 eV/atom

Unit cell a=5.962 b=5.962 c=5.962 alpha=139.21 beta=139.21 gamma=59.06
Fractional coordinates of all 3 atoms:
Gd (0.000, 0.000, 0.000)
Tl (0.325, 0.325, 0.000)
Bi (0.654, 0.654, 0.000)


Entry 4:
DFT (PBE) results for GdTl2Bi after structural relaxation.

Values from the calculation:
symmetry: P4/mmm, No. 123

Unit cell a=4.731 b=4.731 c=5.182 alpha=90.00 beta=90.00 gamma=90.00
Fractional coordinates of all 4 atoms:
Gd (0.000, 0.000, 0.000)
Tl (0.000, 0.500, 0.500)
Tl (0.500, 0.000, 0.500)
Bi (0.500, 0.500, 0.000)


Entry 5:
DFT (PBE) results for GdTmTlBi after structural relaxation.

Values from the calculation:
symmetry: F-43m, No. 216

Unit cell a=5.441 b=5.441 c=5.441 alpha=60.00 beta=60.00 gamma=60.00
Fractional coordinates of all 4 atoms:
Gd (0.000, 0.000, 0.000)
Tm (0.500, 0.500, 0.500)
Tl (0.250, 0.250, 0.250)
Bi (0.750, 0.750, 0.750)


Entry 6:
DFT (PBE) results for GdYTlBi after structural relaxation.

Values from the calculation:
symmetry: F-43m, No. 216

Unit cell a=5.468 b=5.468 c=5.468 alpha=60.00 beta=60.00 gamma=60.00
Fractional coordinates of all 4 atoms:
Gd (0.000, 0.000, 0.000)
Y (0.500, 0.500, 0.500)
Tl (0.250, 0.250, 0.250)
Bi (0.750, 0.750, 0.750)


Entry 7:
DFT (PBE) results for GdTmBi2 after structural relaxation.

Values from the calculation:
symmetry: R-3m, No. 166

Unit cell a=7.749 b=7.749 c=7.749 alpha=33.59 beta=33.59 gamma=33.59
Fractional coordinates of all 4 atoms:
Gd (0.000, 0.000, 0.000)
Tm (0.500, 0.500, 0.500)
Bi (0.248, 0.248, 0.248)
Bi (0.752, 0.752, 0.752)


Entry 8:
DFT (PBE) results for GdTm2Bi after structural relaxation.

Values from the calculation:
symmetry: P4/mmm, No. 123
distance to the lowest polymorph of the same formula: 0.000 eV/atom

Unit cell a=4.891 b=4.891 c=4.794 alpha=90.00 beta=90.00 gamma=90.00
Fractional coordinates of all 4 atoms:
Gd (0.000, 0.000, 0.000)
Tm (0.000, 0.500, 0.500)
Tm (0.500, 0.000, 0.500)
Bi (0.500, 0.500, 0.000)


Number 1: E_form -422.1 meV per atom. Number 2: E_form -276.3 meV per atom. Number 3: E_form -332.5 meV per atom. Number 4: E_form -348.8 meV per atom. Number 5: E_form -403.7 meV per atom. Number 6: E_form -451.3 meV per atom. Number 7: E_form -844.9 meV per atom. Number 8: E_form -333.2 meV per atom.